1.
Nd4Tm2Cd GGA-PBE relaxed; space group = C2/m, No. 12; uncorrected energy = -57.464 eV/cell
1.0
16.716 0.000 0.000
0.000 3.553 0.000
-3.977 0.000 7.665
Nd Tm Cd
8 4 2
Direct
0.084 0.000 0.205
0.132 0.500 0.891
0.368 0.000 0.109
0.416 0.500 0.795
0.584 0.500 0.205
0.632 0.000 0.891
0.868 0.500 0.109
0.916 0.000 0.795
0.217 0.000 0.638
0.283 0.500 0.362
0.717 0.500 0.638
0.783 0.000 0.362
0.000 0.000 0.500
0.500 0.500 0.500



2.
NdTm4Cd2 GGA-PBE relaxed; space group = R-3m, No. 166; uncorrected energy = -22.982 eV/cell
1.0
2.513 1.451 10.357
-2.513 1.451 10.357
0.000 -2.902 10.357
Nd Tm Cd
1 4 2
Direct
0.000 0.000 0.000
0.202 0.202 0.202
0.396 0.396 0.396
0.604 0.604 0.604
0.798 0.798 0.798
0.101 0.101 0.101
0.899 0.899 0.899



3.
NdTmCd3 GGA-PBE relaxed; space group = Cmcm, No. 63; uncorrected energy = -26.996 eV/cell
1.0
1.738 -14.812 0.000
1.738 14.812 0.000
0.000 0.000 5.020
Nd Tm Cd
2 2 6
Direct
0.075 0.925 0.750
0.925 0.075 0.250
0.215 0.785 0.250
0.785 0.215 0.750
0.321 0.679 0.250
0.376 0.624 0.750
0.476 0.524 0.750
0.524 0.476 0.250
0.624 0.376 0.250
0.679 0.321 0.750



4.
NdTm2Cd8 GGA-PBE relaxed; space group = C2/m, No. 12; uncorrected energy = -23.681 eV/cell
1.0
4.071 -7.947 0.000
4.071 7.947 0.000
-3.373 0.000 4.135
Nd Tm Cd
1 2 8
Direct
0.000 0.000 0.000
0.312 0.688 0.500
0.688 0.312 0.500
0.101 0.365 0.743
0.203 0.797 0.000
0.365 0.101 0.743
0.487 0.487 0.736
0.513 0.513 0.264
0.635 0.899 0.257
0.797 0.203 0.000
0.899 0.635 0.257



5.
NdTm3Cd GGA-PBE relaxed; space group = C2/m, No. 12; uncorrected energy = -39.207 eV/cell
1.0
6.481 -1.825 0.000
6.481 1.825 0.000
-0.776 0.000 12.460
Nd Tm Cd
2 6 2
Direct
0.236 0.236 0.253
0.764 0.764 0.747
0.035 0.035 0.687
0.146 0.146 0.950
0.366 0.366 0.521
0.634 0.634 0.479
0.854 0.854 0.050
0.965 0.965 0.313
0.449 0.449 0.873
0.551 0.551 0.127



6.
NdTm2Cd6 GGA-PBE relaxed; space group = P6/mmm, No. 191; uncorrected energy = -21.933 eV/cell
1.0
8.656 0.000 0.000
-4.328 7.496 0.000
0.000 0.000 3.412
Nd Tm Cd
1 2 6
Direct
0.000 0.000 0.000
0.333 0.667 0.000
0.667 0.333 0.000
0.000 0.337 0.500
0.000 0.663 0.500
0.337 0.000 0.500
0.337 0.337 0.500
0.663 0.000 0.500
0.663 0.663 0.500



7.
Nd3Tm3Cd2 GGA-PBE relaxed; space group = Cmcm, No. 63; uncorrected energy = -60.219 eV/cell
1.0
2.620 -5.853 0.000
2.620 5.853 0.000
0.000 0.000 15.936
Nd Tm Cd
6 6 4
Direct
0.038 0.962 0.606
0.038 0.962 0.894
0.267 0.733 0.750
0.733 0.267 0.250
0.962 0.038 0.106
0.962 0.038 0.394
0.357 0.643 0.537
0.357 0.643 0.963
0.452 0.548 0.250
0.548 0.452 0.750
0.643 0.357 0.037
0.643 0.357 0.463
0.238 0.762 0.131
0.238 0.762 0.369
0.762 0.238 0.631
0.762 0.238 0.869



8.
NdTm4Cd GGA-PBE relaxed; space group = C2/m, No. 12; uncorrected energy = -41.665 eV/cell
1.0
7.376 0.000 0.000
0.000 7.377 0.000
-0.009 0.000 7.485
Nd Tm Cd
2 8 2
Direct
0.000 0.000 0.000
0.500 0.500 0.000
0.250 0.250 0.265
0.250 0.250 0.735
0.250 0.750 0.265
0.250 0.750 0.735
0.750 0.250 0.265
0.750 0.250 0.735
0.750 0.750 0.265
0.750 0.750 0.735
0.000 0.500 0.500
0.500 0.000 0.500



9.
Nd3Tm4Cd4 GGA-PBE relaxed; space group = Immm, No. 71; uncorrected energy = -37.173 eV/cell
1.0
-2.632 3.650 8.429
2.632 -3.650 8.429
2.632 3.650 -8.429
Nd Tm Cd
3 4 4
Direct
0.000 0.000 0.000
0.391 0.891 0.500
0.609 0.109 0.500
0.050 0.320 0.730
0.410 0.680 0.730
0.590 0.320 0.270
0.950 0.680 0.270
0.188 0.188 0.000
0.298 0.500 0.798
0.702 0.500 0.202
0.812 0.812 0.000



10.
NdTm3Cd4 GGA-PBE relaxed; space group = P4/mmm, No. 123; uncorrected energy = -24.295 eV/cell
1.0
5.242 0.000 0.000
0.000 5.242 0.000
0.000 0.000 7.611
Nd Tm Cd
1 3 4
Direct
0.000 0.000 0.000
0.000 0.000 0.500
0.500 0.500 0.000
0.500 0.500 0.500
0.000 0.500 0.261
0.000 0.500 0.739
0.500 0.000 0.261
0.500 0.000 0.739



11.
Nd3TmCd GGA-PBE relaxed; space group = C2/m, No. 12; uncorrected energy = -39.541 eV/cell
1.0
11.169 -1.795 0.000
11.169 1.795 0.000
-2.516 0.000 8.052
Nd Tm Cd
6 2 2
Direct
0.015 0.015 0.237
0.176 0.176 0.447
0.378 0.378 0.956
0.622 0.622 0.044
0.824 0.824 0.553
0.985 0.985 0.763
0.267 0.267 0.179
0.733 0.733 0.821
0.421 0.421 0.396
0.579 0.579 0.604



12.
Nd6TmCd5 GGA-PBE relaxed; space group = P2/m, No. 10; uncorrected energy = -40.398 eV/cell
1.0
5.480 0.000 0.000
0.000 7.674 0.000
-2.737 0.000 8.341
Nd Tm Cd
6 1 5
Direct
0.000 0.236 0.000
0.000 0.764 0.000
0.330 0.251 0.657
0.330 0.749 0.657
0.670 0.251 0.343
0.670 0.749 0.343
0.500 0.500 0.000
0.154 0.500 0.312
0.163 0.000 0.333
0.500 0.000 0.000
0.837 0.000 0.667
0.846 0.500 0.688